[1]
Computed, not measured: an optimized crystal structure of BaCaCrO2 at the PBE with a Hubbard U level of DFT.

Cell lengths 4.843, 7.665, 4.843 Å; angles 90.00, 90.00, 90.00 degrees
Site moments in Bohr magnetons follow the coordinates.
Positions (direct):
O 0.000 0.000 0.500  -0.80
O 0.500 0.000 0.000  -0.42
Cr 0.500 0.500 0.500  4.47
Ba 0.000 0.000 0.000  -0.06
Ca 0.000 0.500 0.000  0.06

Calculated values
E ... -21.28 eV per cell
Mass density ... 2.415 g/cm³

=====

[2]
Computed, not measured: an optimized crystal structure of Ba2CaCrO6 at the PBE with a Hubbard U level of DFT.

Cell lengths 5.879, 5.879, 5.879 Å; angles 60.00, 60.00, 60.00 degrees
Positions (direct):
O 0.776 0.224 0.776
O 0.224 0.776 0.776
O 0.776 0.224 0.224
O 0.224 0.776 0.224
O 0.224 0.224 0.776
O 0.776 0.776 0.224
Ba 0.250 0.250 0.250
Ba 0.750 0.750 0.750
Ca 0.500 0.500 0.500
Cr 0.000 0.000 0.000

Calculated values
E ... -65.12 eV per cell
Mass density ... 5.349 g/cm³

=====

[3]
Computed, not measured: an optimized crystal structure of BaCaCrSbO6 at the PBE with a Hubbard U level of DFT.

Cell lengths 5.685, 5.685, 5.685 Å; angles 60.00, 60.00, 60.00 degrees
Site moments in Bohr magnetons follow the coordinates.
Positions (direct):
Ca 0.750 0.750 0.750  0.00
O 0.748 0.252 0.748  0.00
O 0.748 0.748 0.252  0.00
O 0.748 0.252 0.252  0.00
O 0.252 0.748 0.748  0.00
O 0.252 0.252 0.748  0.00
O 0.252 0.748 0.252  0.00
Sb 0.500 0.500 0.500  -0.01
Ba 0.250 0.250 0.250  0.00
Cr 0.000 0.000 0.000  2.90

Calculated values
E ... -66.95 eV per cell
Mass density ... 5.715 g/cm³

=====

[4]
Computed, not measured: an optimized crystal structure of BaCaCrSnO6 at the PBE with a Hubbard U level of DFT.

Cell lengths 5.697, 5.697, 5.697 Å; angles 60.00, 60.00, 60.00 degrees
Site moments in Bohr magnetons follow the coordinates.
Positions (direct):
O 0.756 0.244 0.756  -0.08
O 0.244 0.244 0.756  -0.08
O 0.244 0.756 0.244  -0.08
O 0.756 0.756 0.244  -0.08
O 0.756 0.244 0.244  -0.08
O 0.244 0.756 0.756  -0.08
Ba 0.250 0.250 0.250  0.00
Ca 0.750 0.750 0.750  0.01
Cr 0.000 0.000 0.000  2.46
Sn 0.500 0.500 0.500  -0.01

Calculated values
E ... -65.84 eV per cell
Mass density ... 5.642 g/cm³